The following is a DFT calculation (GGA-PBE) of a relaxed structure of CrPd6Pt.

```
CrPd6Pt
1.0
5.5603 0.0000 0.0000
0.0000 5.5603 0.0000
0.0000 0.0000 3.9331
Cr Pd Pt
1 6 1
Direct
0.0000 0.0000 0.0000
0.0000 0.5000 0.0000
0.2468 0.2468 0.5000
0.2468 0.7532 0.5000
0.5000 0.0000 0.0000
0.7532 0.2468 0.5000
0.7532 0.7532 0.5000
0.5000 0.5000 0.0000
```

## Properties
space-group type = P4/mmm, No. 123
total magnetic moment = 2.0 μB/f.u.
formation energy from the elements = -45.3 meV per atom
excess energy over the best structure of this formula in the dataset = 0 meV per atom